The following is a DFT calculation (PBE-GGA) of BaNa2Re after structural relaxation.

```
BaNa2Re
1.0
4.638 0.000 0.000
0.000 4.638 0.000
0.000 0.000 24.394
Ba Na Re
4 8 4
Cartesian
0.000 0.000 0.000
0.000 2.319 6.098
2.319 0.000 18.295
2.319 2.319 12.197
0.965 1.160 15.246
1.160 3.284 21.344
1.160 3.673 9.148
1.354 1.160 3.049
3.284 3.479 3.049
3.479 0.965 9.148
3.479 1.354 21.344
3.673 3.479 15.246
0.000 0.000 12.197
0.000 2.319 18.295
2.319 0.000 6.098
2.319 2.319 0.000
```

Calculated values
* energy above the lowest structure with this stoichiometry: 0.0 meV/atom
* formation energy from the elements: 114.23 kJ per mole of atoms
* E_tot: -0.2255 Ry per atom
* Fermi-level density of states: 15.5 states/eV/cell